The following is a PBE calculation of a geometry-optimized EuErMgSn structure, from the Alexandria database.

Results
Symmetry ... F-43m
DOS at the Fermi energy ... 0.831 states/eV per atom
Total magnetization ... 7.435 μB/f.u.
Formation energy from the elements ... -381 meV per atom

Unit cell a=5.3900 b=5.3900 c=5.3900 alpha=60.00 beta=60.00 gamma=60.00
Last column: nearest neighbours and their distance in Å.
Atoms (fractional coordinates):
Eu: 0.7500 0.7500 0.7500  4 Sn 3.30, 4 Mg 3.30
Er: 0.2500 0.2500 0.2500  4 Sn 3.30, 4 Mg 3.30
Mg: 0.5000 0.5000 0.5000  4 Eu 3.30, 4 Er 3.30
Sn: 0.0000 0.0000 0.0000  4 Er 3.30, 4 Eu 3.30